Entry 1:
A plane-wave DFT calculation with PBE was carried out for crystalline KTcAsBr2 at its relaxed geometry.

Energy relative to the lowest polymorph listed for this composition   7.19 eV/f.u.
Crystal system   tetragonal

a = 5.8357 Å, b = 5.8357 Å, c = 5.9966 Å
α = 90.00°, β = 90.00°, γ = 90.00°
With the nearest neighbours (Å) after each atom.
Sites, in units of the cell vectors:
1 K 0.0000 0.0000 0.0000  4 Br 2.92, 2 As 3.00
2 As 0.0000 0.0000 0.5000  2 K 3.00
3 Tc 0.5000 0.5000 0.5000  4 As 4.13, 8 Br 4.18
4 Br 0.0000 0.5000 0.0000  2 K 2.92
5 Br 0.5000 0.0000 0.0000  2 K 2.92

Entry 2:
A plane-wave DFT calculation with PBE was carried out for crystalline KTcAsBr2 at its relaxed geometry.

Energy relative to the lowest polymorph listed for this composition   0.00 eV/f.u.
Crystal system   tetragonal

a = 5.5001 Å, b = 5.5001 Å, c = 4.7377 Å
α = 90.00°, β = 90.00°, γ = 90.00°
With the nearest neighbours (Å) after each atom.
Sites, in units of the cell vectors:
1 K 0.5000 0.5000 0.5000  8 Br 3.63, 4 As 3.89
2 As 0.0000 0.0000 0.5000  2 Tc 2.37
3 Tc 0.0000 0.0000 0.0000  2 As 2.37
4 Br 0.0000 0.5000 0.0000  2 Tc 2.75
5 Br 0.5000 0.0000 0.0000  2 Tc 2.75

Entry 3:
A plane-wave DFT calculation with PBE was carried out for crystalline KTiAs2Br at its relaxed geometry.

Energy relative to the lowest polymorph listed for this composition   0.00 eV/f.u.
Crystal system   tetragonal

a = 4.8653 Å, b = 4.8653 Å, c = 5.8495 Å
α = 90.00°, β = 90.00°, γ = 90.00°
With the nearest neighbours (Å) after each atom.
Sites, in units of the cell vectors:
1 As 0.0000 0.5000 0.0000  2 Ti 2.43
2 As 0.5000 0.0000 0.0000  2 Ti 2.43
3 K 0.5000 0.5000 0.5000  4 Br 3.44, 8 As 3.80
4 Br 0.0000 0.0000 0.5000  2 Ti 2.92
5 Ti 0.0000 0.0000 0.0000  4 As 2.43

Entry 4:
A plane-wave DFT calculation with PBE was carried out for crystalline KTiAs2Br at its relaxed geometry.

Energy relative to the lowest polymorph listed for this composition   8.95 eV/f.u.
Crystal system   tetragonal

a = 5.4928 Å, b = 5.4928 Å, c = 5.5614 Å
α = 90.00°, β = 90.00°, γ = 90.00°
With the nearest neighbours (Å) after each atom.
Sites, in units of the cell vectors:
1 As 0.0000 0.5000 0.0000  2 K 2.75
2 As 0.5000 0.0000 0.0000  2 K 2.75
3 K 0.0000 0.0000 0.0000  4 As 2.75, 2 Br 2.78
4 Br 0.0000 0.0000 0.5000  2 K 2.78
5 Ti 0.5000 0.5000 0.5000  4 Br 3.88, 8 As 3.91

Entry 5:
A plane-wave DFT calculation with PBE was carried out for crystalline K2TlAsBr6 at its relaxed geometry.

Crystal system   trigonal

a = 7.9895 Å, b = 7.9895 Å, c = 8.2234 Å
α = 60.92°, β = 60.90°, γ = 59.98°
With the nearest neighbours (Å) after each atom.
Sites, in units of the cell vectors:
1 K 0.5351 0.5348 0.3954  6 Br 3.37-3.45
2 K 0.0252 0.0254 0.9243  6 Br 3.31-3.45
3 Tl 0.8165 0.8165 0.5505  6 Br 3.19-3.35
4 As 0.3239 0.3238 0.0284  6 Br 2.68-2.70
5 Br 0.5511 0.1980 0.2486  1 As 2.68
6 Br 0.1979 0.0022 0.2484  1 As 2.68
7 Br 0.0021 0.5516 0.2483  1 As 2.68
8 Br 0.4438 0.6510 0.7903  1 As 2.70
9 Br 0.6513 0.1145 0.7905  1 As 2.70
10 Br 0.1148 0.4438 0.7904  1 As 2.70

Entry 6:
A plane-wave DFT calculation with PBE was carried out for crystalline KVAsBr2 at its relaxed geometry.

Energy relative to the lowest polymorph listed for this composition   7.04 eV/f.u.
Crystal system   tetragonal

a = 5.9200 Å, b = 5.9200 Å, c = 6.0403 Å
α = 90.00°, β = 90.00°, γ = 90.00°
With the nearest neighbours (Å) after each atom.
Sites, in units of the cell vectors:
1 As 0.0000 0.0000 0.5000  2 K 3.02
2 K 0.0000 0.0000 0.0000  4 Br 2.96, 2 As 3.02
3 Br 0.0000 0.5000 0.0000  2 K 2.96
4 Br 0.5000 0.0000 0.0000  2 K 2.96
5 V 0.5000 0.5000 0.5000  4 As 4.19, 8 Br 4.23

Entry 7:
A plane-wave DFT calculation with PBE was carried out for crystalline KVAs2Br at its relaxed geometry.

Energy relative to the lowest polymorph listed for this composition   8.97 eV/f.u.
Crystal system   tetragonal

a = 5.5730 Å, b = 5.5730 Å, c = 5.6409 Å
α = 90.00°, β = 90.00°, γ = 90.00°
With the nearest neighbours (Å) after each atom.
Sites, in units of the cell vectors:
1 As 0.0000 0.5000 0.0000  2 K 2.79
2 As 0.5000 0.0000 0.0000  2 K 2.79
3 K 0.0000 0.0000 0.0000  4 As 2.79, 2 Br 2.82
4 Br 0.0000 0.0000 0.5000  2 K 2.82
5 V 0.5000 0.5000 0.5000  4 Br 3.94, 8 As 3.96

Entry 8:
A plane-wave DFT calculation with PBE was carried out for crystalline KVAs2Br at its relaxed geometry.

Energy relative to the lowest polymorph listed for this composition   0.00 eV/f.u.
Crystal system   tetragonal

a = 4.7169 Å, b = 4.7169 Å, c = 5.9554 Å
α = 90.00°, β = 90.00°, γ = 90.00°
With the nearest neighbours (Å) after each atom.
Sites, in units of the cell vectors:
1 As 0.0000 0.5000 0.0000  2 V 2.36
2 As 0.5000 0.0000 0.0000  2 V 2.36
3 K 0.5000 0.5000 0.5000  4 Br 3.34
4 Br 0.0000 0.0000 0.5000  2 V 2.98
5 V 0.0000 0.0000 0.0000  4 As 2.36

no.,E_form (uncorrected) (meV per atom)
1,1106.7
2,-331.3
3,-605.2
4,1184.9
5,-1038.9
6,779.3
7,1380.6
8,-413.8